No. 1
DFT (PBE) results for crystalline DyZn2GeO6 at its relaxed geometry.

Lattice parameters (Å, degrees): 7.0193 7.0193 6.5045 110.08 110.08 70.82
With the nearest neighbours (Å) after each atom.
Element x y z (fractional)
Dy: 0.1960 0.8040 0.7500  6 O 2.28-2.43
Dy: 0.8040 0.1960 0.2500  6 O 2.28-2.43
Zn: 0.2516 0.3334 0.8131  4 O 1.97-2.02
Zn: 0.3334 0.2516 0.3131  4 O 1.97-2.02
Zn: 0.6666 0.7484 0.6869  4 O 1.97-2.02
Zn: 0.7484 0.6666 0.1869  4 O 1.97-2.02
Ge: 0.1884 0.8116 0.2500  4 O 1.74-1.78
Ge: 0.8116 0.1884 0.7500  4 O 1.74-1.78
O: 0.0531 0.1532 0.6919  1 Ge 1.78, 1 Zn 1.97
O: 0.1532 0.0531 0.1919  1 Ge 1.78, 1 Zn 1.97
O: 0.2052 0.4555 0.5550  2 Zn 1.98-2.02
O: 0.2222 0.6266 0.9978  1 Ge 1.74
O: 0.3734 0.7778 0.5022  1 Ge 1.74
O: 0.4555 0.2052 0.0550  2 Zn 1.98-2.02
O: 0.5445 0.7948 0.9450  2 Zn 1.98-2.02
O: 0.6266 0.2222 0.4978  1 Ge 1.74
O: 0.7778 0.3734 0.0022  1 Ge 1.74
O: 0.7948 0.5445 0.4450  2 Zn 1.98-2.02
O: 0.8468 0.9469 0.8081  1 Ge 1.78, 1 Zn 1.97
O: 0.9469 0.8468 0.3081  1 Ge 1.78, 1 Zn 1.97

Output
calculated total energy: -5.96 eV/atom
size of the total moment: 2.10 μB/cell

=====

No. 2
DFT (PBE) results for crystalline Dy2ZnGeO6 at its relaxed geometry.

Lattice parameters (Å, degrees): 5.1656 5.1656 4.8563 90.00 90.00 90.00
With the nearest neighbours (Å) after each atom.
Element x y z (fractional)
Dy: 0.0000 0.5000 0.0000  4 O 2.26
Dy: 0.5000 0.0000 0.0000  4 O 2.26
Zn: 0.0000 0.0000 0.5523  5 O 1.92-2.08
Ge: 0.5000 0.5000 0.5939  5 O 1.80-1.86
O: 0.0000 0.0000 0.1567  1 Zn 1.92
O: 0.2602 0.2602 0.7253  1 Ge 1.86, 1 Zn 2.08
O: 0.2602 0.7398 0.7253  1 Ge 1.86, 1 Zn 2.08
O: 0.5000 0.5000 0.2236  1 Ge 1.80
O: 0.7398 0.2602 0.7253  1 Ge 1.86, 1 Zn 2.08
O: 0.7398 0.7398 0.7253  1 Ge 1.86, 1 Zn 2.08

Output
calculated total energy: -6.92 eV/atom
size of the total moment: 0.00 μB/cell

=====

No. 3
DFT (PBE) results for crystalline DyZrGe2O8 at its relaxed geometry.

Lattice parameters (Å, degrees): 5.8726 5.8726 5.8726 107.32 107.32 113.87
With the nearest neighbours (Å) after each atom.
Element x y z (fractional)
Dy: 0.0000 0.0000 0.0000  8 O 2.26-2.44
Zr: 0.2500 0.7500 0.5000  8 O 2.18-2.33
Ge: 0.5000 0.5000 0.0000  4 O 1.77
Ge: 0.7500 0.2500 0.5000  4 O 1.76
O: 0.3190 0.1264 0.8074  1 Ge 1.77
O: 0.3190 0.5116 0.1926  1 Ge 1.77
O: 0.3765 0.0562 0.3203  1 Ge 1.76
O: 0.4884 0.6810 0.8074  1 Ge 1.77
O: 0.7360 0.0562 0.6797  1 Ge 1.76
O: 0.8736 0.6810 0.1926  1 Ge 1.77
O: 0.9438 0.2640 0.3203  1 Ge 1.76
O: 0.9438 0.6235 0.6797  1 Ge 1.76

Output
calculated total energy: -7.51 eV/atom
size of the total moment: 0.95 μB/cell

=====

No. 4
DFT (PBE) results for crystalline DyGe3Os2 at its relaxed geometry.

Lattice parameters (Å, degrees): 6.3161 6.3161 8.4730 90.00 90.00 140.54
With the nearest neighbours (Å) after each atom.
Element x y z (fractional)
Dy: 0.1844 0.8156 0.7500  8 Ge 2.96-3.26, 2 Os 3.05
Dy: 0.8156 0.1844 0.2500  8 Ge 2.96-3.26, 2 Os 3.05
Ge: 0.1331 0.8669 0.2500  4 Os 2.46-2.64
Ge: 0.3772 0.6228 0.0242  4 Os 2.57-2.64
Ge: 0.3772 0.6228 0.4758  4 Os 2.57-2.64
Ge: 0.6228 0.3772 0.5242  4 Os 2.57-2.64
Ge: 0.6228 0.3772 0.9758  4 Os 2.57-2.64
Ge: 0.8669 0.1331 0.7500  4 Os 2.46-2.64
Os: 0.0000 0.0000 0.0000  6 Ge 2.59-2.64
Os: 0.0000 0.0000 0.5000  6 Ge 2.59-2.64
Os: 0.4700 0.5300 0.7500  6 Ge 2.46-2.64
Os: 0.5300 0.4700 0.2500  6 Ge 2.46-2.64

Output
size of the total moment: 0.00 μB/cell
E_form: -0.300 eV per atom

=====

No. 5
DFT (PBE) results for crystalline DyGeOs at its relaxed geometry.

Lattice parameters (Å, degrees): 4.3658 4.3658 3.5380 90.00 90.00 120.00
With the nearest neighbours (Å) after each atom.
Element x y z (fractional)
Dy: 0.0000 0.0000 0.0000  6 Ge 3.08, 6 Os 3.08
Ge: 0.3333 0.6667 0.5000  3 Os 2.52
Os: 0.6667 0.3333 0.5000  3 Ge 2.52

Output
size of the total moment: 0.00 μB/cell
E_form: -0.383 eV per atom

=====

No. 6
DFT (PBE) results for crystalline DyGe2Os at its relaxed geometry.

Lattice parameters (Å, degrees): 4.5914 4.5914 4.5914 61.07 61.07 61.07
With the nearest neighbours (Å) after each atom.
Element x y z (fractional)
Dy: 0.0000 0.0000 0.0000  8 Ge 2.82-2.84
Ge: 0.2527 0.2527 0.2527  4 Os 2.76-2.86, 4 Dy 2.82-2.84
Ge: 0.7473 0.7473 0.7473  4 Os 2.76-2.86, 4 Dy 2.82-2.84
Os: 0.5000 0.5000 0.5000  8 Ge 2.76-2.86

Output
size of the total moment: 0.00 μB/cell
E_form: -0.210 eV per atom

=====

No. 7
DFT (PBE) results for crystalline DyGe3Os3 at its relaxed geometry.

Lattice parameters (Å, degrees): 6.7241 6.7241 6.7241 90.00 90.00 90.00
With the nearest neighbours (Å) after each atom.
Element x y z (fractional)
Dy: 0.0000 0.0000 0.0000  12 Ge 3.76, 12 Os 3.76
Dy: 0.5000 0.5000 0.5000  12 Ge 3.76, 12 Os 3.76
Ge: 0.0000 0.2500 0.5000  4 Os 2.38
Ge: 0.0000 0.7500 0.5000  4 Os 2.38
Ge: 0.2500 0.5000 0.0000  4 Os 2.38
Ge: 0.5000 0.0000 0.2500  4 Os 2.38
Ge: 0.5000 0.0000 0.7500  4 Os 2.38
Ge: 0.7500 0.5000 0.0000  4 Os 2.38
Os: 0.0000 0.5000 0.2500  4 Ge 2.38
Os: 0.0000 0.5000 0.7500  4 Ge 2.38
Os: 0.2500 0.0000 0.5000  4 Ge 2.38
Os: 0.5000 0.2500 0.0000  4 Ge 2.38
Os: 0.5000 0.7500 0.0000  4 Ge 2.38
Os: 0.7500 0.0000 0.5000  4 Ge 2.38

Output
size of the total moment: 0.00 μB/cell
E_form: 0.494 eV per atom

=====

No. 8
DFT (PBE) results for crystalline Dy3Ge2Os at its relaxed geometry.

Lattice parameters (Å, degrees): 11.7813 4.2068 11.2093 90.00 90.00 90.00
With the nearest neighbours (Å) after each atom.
Element x y z (fractional)
Dy: 0.0552 0.2500 0.1266  1 Os 2.87, 5 Ge 2.99-3.21
Dy: 0.1209 0.7500 0.5550  3 Os 2.95-3.06, 5 Ge 3.02-3.13
Dy: 0.2259 0.2500 0.7951  2 Os 2.84, 4 Ge 3.02-3.13
Dy: 0.2741 0.7500 0.2951  2 Os 2.84, 4 Ge 3.02-3.13
Dy: 0.3791 0.2500 0.0550  3 Os 2.95-3.06, 5 Ge 3.02-3.13
Dy: 0.4448 0.7500 0.6266  1 Os 2.87, 5 Ge 2.99-3.21
Dy: 0.5552 0.2500 0.3734  1 Os 2.87, 5 Ge 2.99-3.21
Dy: 0.6209 0.7500 0.9450  3 Os 2.95-3.06, 5 Ge 3.02-3.13
Dy: 0.7259 0.2500 0.7049  2 Os 2.84, 4 Ge 3.02-3.13
Dy: 0.7741 0.7500 0.2049  2 Os 2.84, 4 Ge 3.02-3.13
Dy: 0.8791 0.2500 0.4450  3 Os 2.95-3.06, 5 Ge 3.02-3.13
Dy: 0.9448 0.7500 0.8734  1 Os 2.87, 5 Ge 2.99-3.21
Ge: 0.0104 0.7500 0.3099  2 Os 2.62
Ge: 0.1897 0.7500 0.9982  1 Os 2.57
Ge: 0.3103 0.2500 0.4982  1 Os 2.57
Ge: 0.4896 0.2500 0.8099  2 Os 2.62
Ge: 0.5104 0.7500 0.1901  2 Os 2.62
Ge: 0.6897 0.7500 0.5018  1 Os 2.57
Ge: 0.8103 0.2500 0.0018  1 Os 2.57
Ge: 0.9896 0.2500 0.6901  2 Os 2.62
Os: 0.1290 0.2500 0.3707  3 Ge 2.57-2.62, 3 Dy 2.84-2.87
Os: 0.3710 0.7500 0.8707  3 Ge 2.57-2.62, 3 Dy 2.84-2.87
Os: 0.6290 0.2500 0.1293  3 Ge 2.57-2.62, 3 Dy 2.84-2.87
Os: 0.8710 0.7500 0.6293  3 Ge 2.57-2.62, 3 Dy 2.84-2.87

Output
size of the total moment: 0.00 μB/cell
E_form: -0.647 eV per atom